No. 1
Computed, not measured: a relaxed structure of CoTeRu at the PBE level of DFT.

Summary:
Energy, eV per cell: -18.35
Formation energy (no corrections), eV/atom: 0.3904
Energy relative to the lowest polymorph listed for this composition, meV per atom: 120

a = 4.646 Å, b = 4.646 Å, c = 4.646 Å
α = 140.14°, β = 131.85°, γ = 64.22°
Site moments in Bohr magnetons follow the coordinates.
Positions (direct):
Co: 0.993 0.993 0.000  1.52
Ru: 0.336 0.336 0.000  0.45
Te: 0.671 0.671 0.000  -0.02



No. 2
Computed, not measured: a relaxed structure of CoTe3Ru at the PBE level of DFT.

Summary:
Energy, eV per cell: -21.16
Formation energy (no corrections), eV/atom: 0.9295
Energy relative to the lowest polymorph listed for this composition, meV per atom: 0

a = 4.874 Å, b = 4.874 Å, c = 4.874 Å
α = 90.00°, β = 90.00°, γ = 90.00°
Positions (direct):
Ru: 0.500 0.500 0.500
Te: 0.000 0.500 0.000
Te: 0.000 0.000 0.500
Te: 0.500 0.000 0.000
Co: 0.000 0.000 0.000



No. 3
Computed, not measured: a relaxed structure of CoTe2Ru at the PBE level of DFT.

Summary:
Energy, eV per cell: -43.52
Formation energy (no corrections), eV/atom: 0.2264
Energy relative to the lowest polymorph listed for this composition, meV per atom: 183

a = 5.776 Å, b = 5.776 Å, c = 7.072 Å
α = 65.90°, β = 65.90°, γ = 90.00°
Positions (direct):
Ru: 0.000 0.000 0.000
Ru: 0.750 0.250 0.500
Te: 0.609 0.125 0.250
Te: 0.141 0.625 0.250
Te: 0.375 0.391 0.750
Te: 0.875 0.859 0.750
Co: 0.500 0.500 0.000
Co: 0.250 0.750 0.500



No. 4
Computed, not measured: a relaxed structure of CoTe2Ru at the PBE level of DFT.

Summary:
Energy, eV per cell: -21.44
Formation energy (no corrections), eV/atom: 0.3051
Energy relative to the lowest polymorph listed for this composition, meV per atom: 262

a = 4.191 Å, b = 4.191 Å, c = 6.005 Å
α = 76.91°, β = 76.91°, γ = 47.33°
Site moments in Bohr magnetons follow the coordinates.
Positions (direct):
Co: 0.750 0.750 0.750  1.37
Ru: 0.250 0.250 0.250  0.24
Te: 0.001 0.001 0.996  0.02
Te: 0.499 0.499 0.504  0.02



No. 5
Computed, not measured: a relaxed structure of CoTe2Ru at the PBE level of DFT.

Summary:
Energy, eV per cell: -20.38
Formation energy (no corrections), eV/atom: 0.5716
Energy relative to the lowest polymorph listed for this composition, meV per atom: 528

a = 5.543 Å, b = 5.543 Å, c = 5.543 Å
α = 139.21°, β = 139.21°, γ = 59.06°
Positions (direct):
Co: 0.500 0.500 0.000
Ru: 0.750 0.250 0.500
Te: 0.000 0.000 0.000
Te: 0.250 0.750 0.500



No. 6
Computed, not measured: a relaxed structure of Co3TeRu at the PBE level of DFT.

Summary:
Energy, eV per cell: -26.07
Formation energy (no corrections), eV/atom: 1.5335
Energy relative to the lowest polymorph listed for this composition, meV per atom: 241

a = 4.564 Å, b = 4.564 Å, c = 4.564 Å
α = 90.00°, β = 90.00°, γ = 90.00°
Site moments in Bohr magnetons follow the coordinates.
Positions (direct):
Ru: 0.500 0.500 0.500  2.41
Te: 0.000 0.000 0.000  0.03
Co: 0.000 0.500 0.000  1.38
Co: 0.000 0.000 0.500  1.38
Co: 0.500 0.000 0.000  1.63



No. 7
Computed, not measured: a relaxed structure of Co2TeRu at the PBE level of DFT.

Summary:
Energy, eV per cell: -25.20
Formation energy (no corrections), eV/atom: 0.3578

a = 4.495 Å, b = 4.495 Å, c = 4.547 Å
α = 78.56°, β = 78.56°, γ = 39.87°
Site moments in Bohr magnetons follow the coordinates.
Positions (direct):
Co: 0.010 0.010 0.964  1.15
Co: 0.746 0.746 0.778  1.26
Ru: 0.494 0.494 0.515  0.28
Te: 0.250 0.250 0.242  -0.01



No. 8
Computed, not measured: a relaxed structure of CoTe2Ru at the PBE level of DFT.

Summary:
Energy, eV per cell: -21.56
Formation energy (no corrections), eV/atom: 0.2751
Energy relative to the lowest polymorph listed for this composition, meV per atom: 232

a = 7.566 Å, b = 7.566 Å, c = 7.566 Å
α = 25.95°, β = 25.95°, γ = 25.95°
Positions (direct):
Co: 0.250 0.250 0.250
Ru: 0.750 0.750 0.750
Te: 0.994 0.994 0.994
Te: 0.506 0.506 0.506



No. 9
Computed, not measured: a relaxed structure of CoTe2Ru at the PBE level of DFT.

Summary:
Energy, eV per cell: -21.12
Formation energy (no corrections), eV/atom: 0.3863
Energy relative to the lowest polymorph listed for this composition, meV per atom: 343

a = 3.293 Å, b = 3.292 Å, c = 7.404 Å
α = 63.78°, β = 90.00°, γ = 90.00°
Site moments in Bohr magnetons follow the coordinates.
Positions (direct):
Co: 0.500 0.250 0.250  1.22
Ru: 0.500 0.750 0.750  0.61
Te: 0.000 0.000 0.003  0.01
Te: 0.000 0.500 0.497  0.01



No. 10
Computed, not measured: a relaxed structure of CoTe2Ru at the PBE level of DFT.

Summary:
Energy, eV per cell: -21.78
Formation energy (no corrections), eV/atom: 0.2209
Energy relative to the lowest polymorph listed for this composition, meV per atom: 178

a = 7.734 Å, b = 7.734 Å, c = 7.734 Å
α = 155.87°, β = 152.18°, γ = 37.15°
Site moments in Bohr magnetons follow the coordinates.
Positions (direct):
Co: 0.561 0.561 0.000  0.87
Ru: 0.172 0.672 0.500  0.10
Te: 0.007 0.007 0.000  -0.02
Te: 0.760 0.260 0.500  0.00



No. 11
Computed, not measured: a relaxed structure of CoTe2Ru at the PBE level of DFT.

Summary:
Energy, eV per cell: -20.96
Formation energy (no corrections), eV/atom: 0.4262
Energy relative to the lowest polymorph listed for this composition, meV per atom: 383

a = 8.291 Å, b = 8.291 Å, c = 8.291 Å
α = 25.98°, β = 25.98°, γ = 25.98°
Site moments in Bohr magnetons follow the coordinates.
Positions (direct):
Ru: 0.500 0.500 0.500  0.13
Te: 0.898 0.898 0.898  0.01
Te: 0.102 0.102 0.102  0.01
Co: 0.000 0.000 0.000  1.75



No. 12
Computed, not measured: a relaxed structure of Co2TeRu at the PBE level of DFT.

Summary:
Energy, eV per cell: -24.91
Formation energy (no corrections), eV/atom: 0.4292

a = 4.560 Å, b = 4.560 Å, c = 4.566 Å
α = 80.27°, β = 80.27°, γ = 38.62°
Site moments in Bohr magnetons follow the coordinates.
Positions (direct):
Co: 0.008 0.008 0.971  1.21
Co: 0.492 0.492 0.529  1.21
Ru: 0.750 0.750 0.750  0.30
Te: 0.250 0.250 0.250  -0.01



No. 13
Computed, not measured: a relaxed structure of CoTeRu at the PBE level of DFT.

Summary:
Energy, eV per cell: -17.83
Formation energy (no corrections), eV/atom: 0.5639
Energy relative to the lowest polymorph listed for this composition, meV per atom: 294

a = 3.103 Å, b = 3.103 Å, c = 5.922 Å
α = 90.00°, β = 90.00°, γ = 120.00°
Site moments in Bohr magnetons follow the coordinates.
Positions (direct):
Co: 0.000 0.000 0.007  1.56
Ru: 0.333 0.667 0.323  0.44
Te: 0.667 0.333 0.670  -0.01



No. 14
Computed, not measured: a relaxed structure of Co3TeRu at the PBE level of DFT.

Summary:
Energy, eV per cell: -27.27
Formation energy (no corrections), eV/atom: 1.2926
Energy relative to the lowest polymorph listed for this composition, meV per atom: 0

a = 4.528 Å, b = 4.528 Å, c = 4.528 Å
α = 90.00°, β = 90.00°, γ = 90.00°
Site moments in Bohr magnetons follow the coordinates.
Positions (direct):
Ru: 0.000 0.000 0.000  0.70
Te: 0.500 0.500 0.500  0.11
Co: 0.000 0.500 0.000  1.74
Co: 0.000 0.000 0.500  2.02
Co: 0.500 0.000 0.000  1.19



No. 15
Computed, not measured: a relaxed structure of Co2TeRu at the PBE level of DFT.

Summary:
Energy, eV per cell: -24.33
Formation energy (no corrections), eV/atom: 0.5760

a = 7.514 Å, b = 7.514 Å, c = 7.514 Å
α = 24.22°, β = 24.22°, γ = 24.22°
Site moments in Bohr magnetons follow the coordinates.
Positions (direct):
Co: 0.012 0.012 0.012  1.54
Co: 0.744 0.744 0.744  1.96
Ru: 0.493 0.493 0.493  0.46
Te: 0.251 0.251 0.251  0.00



No. 16
Computed, not measured: a relaxed structure of CoTe2Ru at the PBE level of DFT.

Summary:
Energy, eV per cell: -18.87
Formation energy (no corrections), eV/atom: 0.9477
Energy relative to the lowest polymorph listed for this composition, meV per atom: 904

a = 4.775 Å, b = 4.775 Å, c = 4.775 Å
α = 60.00°, β = 60.00°, γ = 60.00°
Site moments in Bohr magnetons follow the coordinates.
Positions (direct):
Co: 0.500 0.500 0.500  1.63
Ru: 0.750 0.750 0.750  0.77
Te: 0.000 0.000 0.000  -0.01
Te: 0.250 0.250 0.250  -0.01



No. 17
Computed, not measured: a relaxed structure of CoTe2Ru at the PBE level of DFT.

Summary:
Energy, eV per cell: -22.28
Formation energy (no corrections), eV/atom: 0.0966
Energy relative to the lowest polymorph listed for this composition, meV per atom: 53

a = 3.723 Å, b = 3.217 Å, c = 7.081 Å
α = 90.00°, β = 90.00°, γ = 90.00°
Site moments in Bohr magnetons follow the coordinates.
Positions (direct):
Co: 0.000 0.000 0.517  0.52
Ru: 0.500 0.500 0.731  0.02
Te: 0.000 0.000 0.883  0.00
Te: 0.500 0.500 0.369  -0.01



No. 18
Computed, not measured: a relaxed structure of CoTeRu3 at the PBE level of DFT.

Summary:
Energy, eV per cell: -31.82
Formation energy (no corrections), eV/atom: 1.2505
Energy relative to the lowest polymorph listed for this composition, meV per atom: 0

a = 4.475 Å, b = 4.475 Å, c = 4.475 Å
α = 90.00°, β = 90.00°, γ = 90.00°
Site moments in Bohr magnetons follow the coordinates.
Positions (direct):
Ru: 0.000 0.500 0.000  0.61
Ru: 0.000 0.000 0.500  0.87
Ru: 0.500 0.000 0.000  0.40
Te: 0.500 0.500 0.500  0.00
Co: 0.000 0.000 0.000  1.35



No. 19
Computed, not measured: a relaxed structure of CoTe2Ru at the PBE level of DFT.

Summary:
Energy, eV per cell: -22.49
Formation energy (no corrections), eV/atom: 0.0433
Energy relative to the lowest polymorph listed for this composition, meV per atom: 0

a = 6.932 Å, b = 6.932 Å, c = 6.932 Å
α = 32.81°, β = 32.81°, γ = 32.81°
Positions (direct):
Co: 0.482 0.482 0.482
Ru: 0.777 0.777 0.777
Te: 0.031 0.031 0.031
Te: 0.211 0.211 0.211



No. 20
Computed, not measured: a relaxed structure of Co4TeRu at the PBE level of DFT.

Summary:
Energy, eV per cell: -38.65
Formation energy (no corrections), eV/atom: 0.3659

a = 4.843 Å, b = 4.843 Å, c = 4.843 Å
α = 60.00°, β = 60.00°, γ = 60.00°
Site moments in Bohr magnetons follow the coordinates.
Positions (direct):
Co: 0.873 0.376 0.376  1.73
Co: 0.376 0.376 0.873  1.73
Co: 0.376 0.873 0.376  1.73
Co: 0.376 0.376 0.376  1.73
Te: 0.000 0.000 0.000  0.05
Ru: 0.750 0.750 0.750  1.18



No. 21
Computed, not measured: a relaxed structure of Co2TeRu at the PBE level of DFT.

Summary:
Energy, eV per cell: -25.56
Formation energy (no corrections), eV/atom: 0.2677

a = 3.795 Å, b = 3.795 Å, c = 3.791 Å
α = 90.00°, β = 90.00°, γ = 90.00°
Positions (direct):
Co: 0.000 0.000 0.000
Co: 0.500 0.500 0.000
Ru: 0.500 0.000 0.500
Te: 0.000 0.500 0.500



No. 22
Computed, not measured: a relaxed structure of Co2TeRu at the PBE level of DFT.

Summary:
Energy, eV per cell: -24.11
Formation energy (no corrections), eV/atom: 0.6303

a = 8.051 Å, b = 8.051 Å, c = 8.051 Å
α = 21.59°, β = 21.59°, γ = 21.59°
Site moments in Bohr magnetons follow the coordinates.
Positions (direct):
Co: 0.004 0.004 0.004  1.52
Co: 0.496 0.496 0.496  1.52
Ru: 0.750 0.750 0.750  1.23
Te: 0.250 0.250 0.250  -0.02



No. 23
Computed, not measured: a relaxed structure of Co2TeRu at the PBE level of DFT.

Summary:
Energy, eV per cell: -25.57
Formation energy (no corrections), eV/atom: 0.2642

a = 4.595 Å, b = 4.595 Å, c = 4.595 Å
α = 130.14°, β = 130.14°, γ = 73.19°
Site moments in Bohr magnetons follow the coordinates.
Positions (direct):
Co: 0.000 0.000 0.000  0.80
Co: 0.250 0.750 0.500  1.34
Ru: 0.500 0.500 0.000  0.23
Te: 0.750 0.250 0.500  -0.01



No. 24
Computed, not measured: a relaxed structure of Co2TeRu at the PBE level of DFT.

Summary:
Energy, eV per cell: -24.96
Formation energy (no corrections), eV/atom: 0.4172

a = 4.414 Å, b = 4.414 Å, c = 3.043 Å
α = 90.00°, β = 90.00°, γ = 107.43°
Site moments in Bohr magnetons follow the coordinates.
Positions (direct):
Co: 0.000 0.000 0.000  0.66
Co: 0.500 0.500 0.000  0.66
Ru: 0.500 0.000 0.500  0.37
Te: 0.000 0.500 0.500  -0.02



No. 25
Computed, not measured: a relaxed structure of CoTe2Ru at the PBE level of DFT.

Summary:
Energy, eV per cell: -21.06
Formation energy (no corrections), eV/atom: 0.4012
Energy relative to the lowest polymorph listed for this composition, meV per atom: 358

a = 4.660 Å, b = 4.660 Å, c = 3.310 Å
α = 90.03°, β = 90.03°, γ = 90.03°
Site moments in Bohr magnetons follow the coordinates.
Positions (direct):
Co: 0.500 0.000 0.500  1.11
Ru: 0.000 0.500 0.500  0.58
Te: 0.000 0.000 0.000  0.01
Te: 0.500 0.500 0.000  0.01



No. 26
Computed, not measured: a relaxed structure of CoTe3Ru at the PBE level of DFT.

Summary:
Energy, eV per cell: -20.77
Formation energy (no corrections), eV/atom: 1.0075
Energy relative to the lowest polymorph listed for this composition, meV per atom: 78

a = 5.185 Å, b = 5.185 Å, c = 5.185 Å
α = 90.00°, β = 90.00°, γ = 90.00°
Site moments in Bohr magnetons follow the coordinates.
Positions (direct):
Ru: 0.000 0.000 0.000  0.06
Te: 0.000 0.500 0.000  0.06
Te: 0.000 0.000 0.500  0.08
Te: 0.500 0.000 0.000  -0.02
Co: 0.500 0.500 0.500  2.17



No. 27
Computed, not measured: a relaxed structure of CoTeRu at the PBE level of DFT.

Summary:
Energy, eV per cell: -18.71
Formation energy (no corrections), eV/atom: 0.2703
Energy relative to the lowest polymorph listed for this composition, meV per atom: 0

a = 4.244 Å, b = 4.244 Å, c = 4.244 Å
α = 60.00°, β = 60.00°, γ = 60.00°
Site moments in Bohr magnetons follow the coordinates.
Positions (direct):
Co: 0.500 0.500 0.500  1.54
Ru: 0.250 0.250 0.250  0.31
Te: 0.000 0.000 0.000  -0.01



No. 28
Computed, not measured: a relaxed structure of Co2TeRu at the PBE level of DFT.

Summary:
Energy, eV per cell: -25.20
Formation energy (no corrections), eV/atom: 0.3585

a = 4.604 Å, b = 4.604 Å, c = 4.604 Å
α = 130.37°, β = 130.27°, γ = 72.90°
Site moments in Bohr magnetons follow the coordinates.
Positions (direct):
Co: 0.000 0.000 0.000  0.86
Co: 0.500 0.500 0.000  0.86
Ru: 0.750 0.250 0.500  0.31
Te: 0.250 0.750 0.500  -0.01



No. 29
Computed, not measured: a relaxed structure of Th6CoTe3Ru2 at the PBE level of DFT.

Summary:
Energy, eV per cell: -89.75
Formation energy (no corrections), eV/atom: -0.8458

a = 7.168 Å, b = 7.168 Å, c = 8.061 Å
α = 98.53°, β = 98.53°, γ = 119.99°
Positions (direct):
Th: 0.934 0.606 0.803
Th: 0.738 0.738 0.198
Th: 0.066 0.394 0.197
Th: 0.606 0.934 0.803
Th: 0.262 0.262 0.802
Th: 0.394 0.066 0.197
Co: 0.000 0.000 0.000
Te: 0.168 0.832 0.500
Te: 0.832 0.168 0.500
Te: 0.500 0.500 0.500
Ru: 0.334 0.666 0.000
Ru: 0.666 0.334 0.000